No. 1
The following is a DFT calculation (GGA-PBEsol) of a relaxed structure of MgW2Au.

As for the crystal system: orthorhombic. For the electronic total energy, the calculation gives -8.0628 eV per atom. The calculation puts the energy of formation from the pure elements at 0.2512 eV/atom. The calculation puts the spin magnetization at 0.0 μB/f.u.

abc: 3.687 3.865 8.960
angles: 90.00 90.00 90.00
Space group Immm (No. 71)
Unique sites:
Mg (0.000, 0.000, 0.000) x2
W (0.000, 0.500, 0.250) x4
Au (0.000, 0.000, 0.500) x2

---

No. 2
The following is a DFT calculation (GGA-PBEsol) of a relaxed structure of MgW2Au.

As for the crystal system: trigonal. For the electronic total energy, the calculation gives -7.9993 eV per atom. The calculation puts the energy of formation from the pure elements at 0.3148 eV/atom. The calculation puts the spin magnetization at 0.0 μB/f.u.

abc: 2.8138 2.8138 28.7490
angles: 90.00 90.00 120.00
Space group R3m (No. 160, hexagonal axes)
Unique sites:
Mg (0.0000, 0.0000, 0.0000) x3
W (0.0000, 0.0000, 0.5022) x3
W (0.0000, 0.0000, 0.7524) x3
Au (0.0000, 0.0000, 0.2524) x3

---

No. 3
The following is a DFT calculation (GGA-PBEsol) of a relaxed structure of Mg3WAu.

As for the crystal system: cubic. For the electronic total energy, the calculation gives -3.0417 eV per atom. The calculation puts the energy of formation from the pure elements at 1.5349 eV/atom. The calculation puts the spin magnetization at 3.0 μB/f.u.

abc: 5.157 5.157 5.157
angles: 90.00 90.00 90.00
Space group Pm-3m (No. 221)
Unique sites:
Mg (0.000, 0.000, 0.500) x3
W (0.000, 0.000, 0.000) x1
Au (0.500, 0.500, 0.500) x1

---

No. 4
The following is a DFT calculation (GGA-PBEsol) of a relaxed structure of MgW2Au.

As for the crystal system: monoclinic. For the electronic total energy, the calculation gives -7.9633 eV per atom. The calculation puts the energy of formation from the pure elements at 0.3507 eV/atom. The calculation puts the spin magnetization at 0.0 μB/f.u.

abc: 9.277 2.681 5.270
angles: 90.00 94.72 90.00
Space group Cm (No. 8)
Unique sites:
Mg (0.000, 0.000, 0.000) x2
W (0.013, 0.500, 0.490) x2
W (0.257, 0.500, 0.281) x2
Au (0.251, 0.000, 0.786) x2

---

No. 5
The following is a DFT calculation (GGA-PBEsol) of a relaxed structure of Mg2WAu.

As for the crystal system: cubic. For the electronic total energy, the calculation gives -4.8309 eV per atom. The calculation puts the offset from the most stable computed form at 34 meV/atom. The calculation puts the energy of formation from the pure elements at 0.4605 eV/atom. The calculation puts the spin magnetization at 2.4 μB/f.u.

abc: 6.528 6.528 6.528
angles: 90.00 90.00 90.00
Space group F-43m (No. 216)
Unique sites:
Mg (0.000, 0.000, 0.000) x4
Mg (0.250, 0.250, 0.250) x4
W (0.000, 0.000, 0.500) x4
Au (0.250, 0.250, 0.750) x4

---

No. 6
The following is a DFT calculation (GGA-PBEsol) of a relaxed structure of Mg2WAu.

As for the crystal system: tetragonal. For the electronic total energy, the calculation gives -4.8645 eV per atom. The calculation puts the offset from the most stable computed form at 0 meV/atom. The calculation puts the energy of formation from the pure elements at 0.4269 eV/atom. The calculation puts the spin magnetization at 0.0 μB/f.u.

abc: 4.023 4.023 8.345
angles: 90.00 90.00 90.00
Space group I-4m2 (No. 119)
Unique sites:
Mg (0.000, 0.000, 0.000) x2
Mg (0.000, 0.500, 0.250) x2
W (0.000, 0.000, 0.500) x2
Au (0.000, 0.500, 0.750) x2

---

No. 7
The following is a DFT calculation (GGA-PBEsol) of a relaxed structure of MgW2Au.

As for the crystal system: orthorhombic. For the electronic total energy, the calculation gives -7.9188 eV per atom. The calculation puts the energy of formation from the pure elements at 0.3953 eV/atom. The calculation puts the spin magnetization at 0.0 μB/f.u.

abc: 5.277 9.025 2.715
angles: 90.00 90.00 90.00
Space group Cmmm (No. 65)
Unique sites:
Mg (0.000, 0.000, 0.000) x2
W (0.250, 0.250, 0.500) x4
Au (0.000, 0.500, 0.000) x2

---

No. 8
The following is a DFT calculation (GGA-PBEsol) of a relaxed structure of MgWAu2.

As for the crystal system: tetragonal. For the electronic total energy, the calculation gives -5.8501 eV per atom. The calculation puts the energy of formation from the pure elements at -0.0069 eV/atom. The calculation puts the spin magnetization at 0.0 μB/f.u.

abc: 2.842 2.842 8.134
angles: 90.00 90.00 90.00
Space group P4/mmm (No. 123)
Unique sites:
Mg (0.000, 0.000, 0.000) x1
W (0.000, 0.000, 0.500) x1
Au (0.500, 0.500, 0.252) x2

---

No. 9
The following is a DFT calculation (GGA-PBEsol) of a relaxed structure of Y2MgAu.

As for the crystal system: tetragonal. For the electronic total energy, the calculation gives -5.3083 eV per atom. The calculation puts the energy of formation from the pure elements at -0.4870 eV/atom. The calculation puts the spin magnetization at 0.0 μB/f.u.

abc: 3.656 3.656 7.198
angles: 90.00 90.00 90.00
Space group P4/mmm (No. 123)
Unique sites:
Y (0.000, 0.000, 0.232) x2
Mg (0.500, 0.500, 0.500) x1
Au (0.500, 0.500, 0.000) x1

---

No. 10
The following is a DFT calculation (GGA-PBEsol) of a relaxed structure of Y2MgAu.

As for the crystal system: trigonal. For the electronic total energy, the calculation gives -5.0469 eV per atom. The calculation puts the energy of formation from the pure elements at -0.2255 eV/atom. The calculation puts the spin magnetization at 0.0 μB/f.u.

abc: 3.5688 3.5688 28.3515
angles: 90.00 90.00 120.00
Space group R3m (No. 160, hexagonal axes)
Unique sites:
Y (0.0000, 0.0000, 0.0000) x3
Y (0.0000, 0.0000, 0.2319) x3
Mg (0.0000, 0.0000, 0.4698) x3
Au (0.0000, 0.0000, 0.7398) x3

---

No. 11
The following is a DFT calculation (GGA-PBEsol) of a relaxed structure of YMgAu.

As for the crystal system: cubic. For the electronic total energy, the calculation gives -4.0967 eV per atom. The calculation puts the energy of formation from the pure elements at 0.0578 eV/atom. The calculation puts the spin magnetization at 0.0 μB/f.u.

abc: 6.793 6.793 6.793
angles: 90.00 90.00 90.00
Space group F-43m (No. 216)
Unique sites:
Y (0.000, 0.000, 0.000) x4
Mg (0.250, 0.250, 0.250) x4
Au (0.250, 0.250, 0.750) x4

---

No. 12
The following is a DFT calculation (GGA-PBEsol) of a relaxed structure of YMg2Au2.

As for the crystal system: tetragonal. For the electronic total energy, the calculation gives -4.2405 eV per atom. The calculation puts the energy of formation from the pure elements at -0.6196 eV/atom. The calculation puts the spin magnetization at 0.0 μB/f.u.

abc: 4.046 4.046 12.770
angles: 90.00 90.00 90.00
Space group I4/mmm (No. 139)
Unique sites:
Y (0.000, 0.000, 0.000) x2
Mg (0.000, 0.500, 0.250) x4
Au (0.000, 0.000, 0.394) x4

---

No. 13
The following is a DFT calculation (GGA-PBEsol) of a relaxed structure of YMgAu.

As for the crystal system: hexagonal. For the electronic total energy, the calculation gives -4.8567 eV per atom. The calculation puts the energy of formation from the pure elements at -0.7022 eV/atom. The calculation puts the spin magnetization at 0.0 μB/f.u.

abc: 7.5244 7.5244 4.0410
angles: 90.00 90.00 120.00
Space group P-62m (No. 189)
Unique sites:
Y (0.0000, 0.5884, 0.0000) x3
Mg (0.0000, 0.2474, 0.5000) x3
Au (0.0000, 0.0000, 0.0000) x1
Au (0.3333, 0.6667, 0.5000) x2

---

No. 14
The following is a DFT calculation (GGA-PBEsol) of a relaxed structure of Mg3ZnAu.

As for the crystal system: cubic. For the electronic total energy, the calculation gives -2.0681 eV per atom. The calculation puts the energy of formation from the pure elements at 0.0633 eV/atom. The calculation puts the spin magnetization at 0.0 μB/f.u.

abc: 5.058 5.058 5.058
angles: 90.00 90.00 90.00
Space group Pm-3m (No. 221)
Unique sites:
Mg (0.000, 0.000, 0.500) x3
Zn (0.500, 0.500, 0.500) x1
Au (0.000, 0.000, 0.000) x1

---

No. 15
The following is a DFT calculation (GGA-PBEsol) of a relaxed structure of MgZnAu2.

As for the crystal system: cubic. For the electronic total energy, the calculation gives -3.2123 eV per atom. The calculation puts the energy of formation from the pure elements at -0.4255 eV/atom. The calculation puts the spin magnetization at 0.0 μB/f.u.

abc: 6.371 6.371 6.371
angles: 90.00 90.00 90.00
Space group Fm-3m (No. 225)
Unique sites:
Mg (0.000, 0.000, 0.000) x4
Zn (0.000, 0.000, 0.500) x4
Au (0.250, 0.250, 0.250) x8